DFT (GGA-PBE) results for a relaxed structure of AlPRhCl2.

Results
Formation energy without anion corrections: 0.09 eV per atom
Calculated total energy: -3.949 eV per atom
Energy relative to the lowest polymorph listed for this composition: 0.00 kJ per mole of atoms
Mass density: 3.3 g/cm³
D(E_F): 0.60 states/eV per atom

Cell lengths 5.105, 5.105, 4.424 Å; angles 90.00, 90.00, 90.00 degrees
Space group P4/mmm (No. 123)
Symmetry-distinct sites (fractional):
Al1 0.000 0.000 0.000 [1 per cell]
P1 0.500 0.500 0.000 [1 per cell]
Rh1 0.500 0.500 0.500 [1 per cell]
Cl1 0.000 0.500 0.500 [2 per cell]

DFT (GGA-PBE) results for a relaxed structure of Mn2CrCl.

Results
Formation energy without anion corrections: 0.19 eV per atom
Calculated total energy: -7.265 eV per atom
Energy relative to the lowest polymorph listed for this composition: 9.33 kJ per mole of atoms
Mass density: 5.2 g/cm³
D(E_F): 0.62 states/eV per atom

Cell lengths 3.0980, 3.0980, 22.7789 Å; angles 90.00, 90.00, 120.00 degrees
Space group R-3m (No. 166, hexagonal axes)
Symmetry-distinct sites (fractional):
Mn1 0.0000 0.0000 0.2450 [6 per cell]
Cr1 0.0000 0.0000 0.5000 [3 per cell]
Cl1 0.0000 0.0000 0.0000 [3 per cell]

DFT (GGA-PBE) results for a relaxed structure of La2SiTcPb.

Results
Formation energy without anion corrections: -0.05 eV per atom
Calculated total energy: -5.918 eV per atom
Energy relative to the lowest polymorph listed for this composition: 0.00 kJ per mole of atoms
Mass density: 6.9 g/cm³
D(E_F): 1.00 states/eV per atom

Cell lengths 5.689, 5.689, 4.534 Å; angles 90.00, 90.00, 90.00 degrees
Space group P4/mmm (No. 123)
Symmetry-distinct sites (fractional):
La1 0.000 0.500 0.000 [2 per cell]
Si1 0.000 0.000 0.000 [1 per cell]
Tc1 0.000 0.000 0.500 [1 per cell]
Pb1 0.500 0.500 0.500 [1 per cell]

DFT (GGA-PBE) results for a relaxed structure of LiSbSe2.

Results
Formation energy without anion corrections: -0.64 eV per atom
Calculated total energy: -3.888 eV per atom
Mass density: 5.1 g/cm³
D(E_F): 0.00 states/eV per atom

Cell lengths 5.691, 5.691, 11.543 Å; angles 90.00, 90.00, 90.00 degrees
Space group I4_1/amd (No. 141, origin choice 2)
Symmetry-distinct sites (fractional):
Li1 0.000 0.250 0.375 [4 per cell]
Sb1 0.000 0.250 0.875 [4 per cell]
Se1 0.000 0.250 0.125 [8 per cell]

DFT (GGA-PBE) results for a relaxed structure of PuSi3Au3.

Results
Formation energy without anion corrections: 0.04 eV per atom
Calculated total energy: -5.733 eV per atom
Mass density: 9.6 g/cm³
D(E_F): 2.02 states/eV per atom

Cell lengths 6.816, 6.816, 6.816 Å; angles 90.00, 90.00, 90.00 degrees
Space group Pm-3n (No. 223)
Symmetry-distinct sites (fractional):
Pu1 0.000 0.000 0.000 [2 per cell]
Si1 0.000 0.250 0.500 [6 per cell]
Au1 0.000 0.500 0.250 [6 per cell]

DFT (GGA-PBE) results for a relaxed structure of ScAlSn.

Results
Calculated total energy: -4.917 eV per atom
Energy of formation: -0.68 eV/f.u.
Mass density: 4.9 g/cm³
D(E_F): 1.21 states/eV per atom

Cell lengths 3.522, 3.522, 10.404 Å; angles 90.00, 90.00, 90.00 degrees
Space group I4mm (No. 107)
Symmetry-distinct sites (fractional):
Sc1 0.000 0.000 0.000 [2 per cell]
Al1 0.000 0.000 0.661 [2 per cell]
Sn1 0.000 0.000 0.317 [2 per cell]